# ScTi3Fe, optimized geometry, DFT PBE
data_ScTi3Fe
_chemical_formula_sum 'Sc1 Ti3 Fe1'
_symmetry_space_group_name_H-M 'P 1'
_symmetry_Int_Tables_number 1
_symmetry_space_group_name_Hall 'P 1'
_cell_length_a 4.549
_cell_length_b 4.549
_cell_length_c 4.549
_cell_angle_alpha 90.00
_cell_angle_beta 90.00
_cell_angle_gamma 90.00
loop_
_atom_site_label
_atom_site_type_symbol
_atom_site_fract_x
_atom_site_fract_y
_atom_site_fract_z
Sc1 Sc 0.000 0.000 0.000
Ti1 Ti 0.000 0.500 0.500
Ti2 Ti 0.500 0.000 0.500
Ti3 Ti 0.500 0.500 0.000
Fe1 Fe 0.500 0.500 0.500
# total energy = -37.619 eV/cell
# formation energy = 0.172 eV per atom
# SG = Pm-3m

***

# ScTiFe3, optimized geometry, DFT PBE
data_ScTiFe3
_chemical_formula_sum 'Sc1 Ti1 Fe3'
_symmetry_space_group_name_H-M 'P 1'
_symmetry_Int_Tables_number 1
_symmetry_space_group_name_Hall 'P 1'
_cell_length_a 4.358
_cell_length_b 4.358
_cell_length_c 4.358
_cell_angle_alpha 90.00
_cell_angle_beta 90.00
_cell_angle_gamma 90.00
loop_
_atom_site_label
_atom_site_type_symbol
_atom_site_fract_x
_atom_site_fract_y
_atom_site_fract_z
Sc1 Sc 0.000 0.000 0.000
Ti1 Ti 0.500 0.500 0.500
Fe1 Fe 0.000 0.500 0.500
Fe2 Fe 0.500 0.000 0.500
Fe3 Fe 0.500 0.500 0.000
# total energy = -36.349 eV/cell
# formation energy = 0.653 eV per atom
# SG = Pm-3m

***

# ScTiFe2, optimized geometry, DFT PBE
data_ScTiFe2
_chemical_formula_sum 'Sc1 Ti1 Fe2'
_symmetry_space_group_name_H-M 'P 1'
_symmetry_Int_Tables_number 1
_symmetry_space_group_name_Hall 'P 1'
_cell_length_a 3.023
_cell_length_b 3.023
_cell_length_c 6.127
_cell_angle_alpha 90.00
_cell_angle_beta 90.00
_cell_angle_gamma 90.00
loop_
_atom_site_label
_atom_site_type_symbol
_atom_site_fract_x
_atom_site_fract_y
_atom_site_fract_z
Sc1 Sc 0.000 0.000 0.000
Ti1 Ti 0.000 0.000 0.500
Fe1 Fe 0.500 0.500 0.272
Fe2 Fe 0.500 0.500 0.728
# total energy = -32.063 eV/cell
# formation energy = -0.228 eV per atom
# SG = P4/mmm

***

# ScTi2Fe3, optimized geometry, DFT PBE
data_ScTi2Fe3
_chemical_formula_sum 'Sc1 Ti2 Fe3'
_symmetry_space_group_name_H-M 'P 1'
_symmetry_Int_Tables_number 1
_symmetry_space_group_name_Hall 'P 1'
_cell_length_a 2.994
_cell_length_b 2.994
_cell_length_c 9.065
_cell_angle_alpha 90.00
_cell_angle_beta 90.00
_cell_angle_gamma 90.00
loop_
_atom_site_label
_atom_site_type_symbol
_atom_site_fract_x
_atom_site_fract_y
_atom_site_fract_z
Sc1 Sc 0.000 0.000 0.000
Ti1 Ti 0.000 0.000 0.336
Ti2 Ti 0.000 0.000 0.664
Fe1 Fe 0.500 0.500 0.185
Fe2 Fe 0.500 0.500 0.500
Fe3 Fe 0.500 0.500 0.815
# total energy = -49.304 eV/cell
# formation energy = -0.299 eV per atom
# SG = P4/mmm

***

# Sc2TiFe, optimized geometry, DFT PBE
data_Sc2TiFe
_chemical_formula_sum 'Sc2 Ti1 Fe1'
_symmetry_space_group_name_H-M 'P 1'
_symmetry_Int_Tables_number 1
_symmetry_space_group_name_Hall 'P 1'
_cell_length_a 3.115
_cell_length_b 3.115
_cell_length_c 7.524
_cell_angle_alpha 90.00
_cell_angle_beta 90.00
_cell_angle_gamma 90.00
loop_
_atom_site_label
_atom_site_type_symbol
_atom_site_fract_x
_atom_site_fract_y
_atom_site_fract_z
Sc1 Sc 0.000 0.000 0.200
Sc2 Sc 0.000 0.000 0.800
Ti1 Ti 0.500 0.500 0.500
Fe1 Fe 0.500 0.500 0.000
# total energy = -28.825 eV/cell
# formation energy = 0.049 eV per atom
# SG = P4/mmm

***

# Sc3TiFe, optimized geometry, DFT PBE
data_Sc3TiFe
_chemical_formula_sum 'Sc3 Ti1 Fe1'
_symmetry_space_group_name_H-M 'P 1'
_symmetry_Int_Tables_number 1
_symmetry_space_group_name_Hall 'P 1'
_cell_length_a 4.787
_cell_length_b 4.787
_cell_length_c 4.787
_cell_angle_alpha 90.00
_cell_angle_beta 90.00
_cell_angle_gamma 90.00
loop_
_atom_site_label
_atom_site_type_symbol
_atom_site_fract_x
_atom_site_fract_y
_atom_site_fract_z
Sc1 Sc 0.000 0.000 0.500
Sc2 Sc 0.000 0.500 0.000
Sc3 Sc 0.500 0.000 0.000
Ti1 Ti 0.500 0.500 0.500
Fe1 Fe 0.000 0.000 0.000
# total energy = -33.823 eV/cell
# formation energy = 0.306 eV per atom
# SG = Pm-3m

***

# ScTi2Fe, optimized geometry, DFT PBE
data_ScTi2Fe
_chemical_formula_sum 'Sc1 Ti2 Fe1'
_symmetry_space_group_name_H-M 'P 1'
_symmetry_Int_Tables_number 1
_symmetry_space_group_name_Hall 'P 1'
_cell_length_a 4.468
_cell_length_b 4.468
_cell_length_c 4.468
_cell_angle_alpha 60.00
_cell_angle_beta 60.00
_cell_angle_gamma 60.00
loop_
_atom_site_label
_atom_site_type_symbol
_atom_site_fract_x
_atom_site_fract_y
_atom_site_fract_z
Sc1 Sc 0.000 0.000 0.000
Ti1 Ti 0.250 0.250 0.250
Ti2 Ti 0.750 0.750 0.750
Fe1 Fe 0.500 0.500 0.500
# total energy = -30.157 eV/cell
# formation energy = 0.107 eV per atom
# SG = Fm-3m

***

# Sc2Ti2Fe, optimized geometry, DFT PBE
data_Sc2Ti2Fe
_chemical_formula_sum 'Sc4 Ti4 Fe2'
_symmetry_space_group_name_H-M 'P 1'
_symmetry_Int_Tables_number 1
_symmetry_space_group_name_Hall 'P 1'
_cell_length_a 6.222
_cell_length_b 6.222
_cell_length_c 4.795
_cell_angle_alpha 90.00
_cell_angle_beta 90.00
_cell_angle_gamma 90.00
loop_
_atom_site_label
_atom_site_type_symbol
_atom_site_fract_x
_atom_site_fract_y
_atom_site_fract_z
Sc1 Sc 0.156 0.344 0.000
Sc2 Sc 0.344 0.844 0.000
Sc3 Sc 0.656 0.156 0.000
Sc4 Sc 0.844 0.656 0.000
Ti1 Ti 0.161 0.661 0.500
Ti2 Ti 0.339 0.161 0.500
Ti3 Ti 0.661 0.839 0.500
Ti4 Ti 0.839 0.339 0.500
Fe1 Fe 0.000 0.000 0.000
Fe2 Fe 0.500 0.500 0.000
# total energy = -70.171 eV/cell
# formation energy = 0.366 eV per atom
# SG = P4/mbm

***

# ScTiFe2, optimized geometry, DFT PBE
data_ScTiFe2
_chemical_formula_sum 'Sc2 Ti2 Fe4'
_symmetry_space_group_name_H-M 'P 1'
_symmetry_Int_Tables_number 1
_symmetry_space_group_name_Hall 'P 1'
_cell_length_a 5.486
_cell_length_b 5.486
_cell_length_c 5.486
_cell_angle_alpha 104.24
_cell_angle_beta 104.24
_cell_angle_gamma 120.53
loop_
_atom_site_label
_atom_site_type_symbol
_atom_site_fract_x
_atom_site_fract_y
_atom_site_fract_z
Sc1 Sc 0.000 0.000 0.000
Sc2 Sc 0.750 0.250 0.500
Ti1 Ti 0.250 0.750 0.500
Ti2 Ti 0.500 0.500 0.000
Fe1 Fe 0.145 0.625 0.020
Fe2 Fe 0.375 0.395 0.520
Fe3 Fe 0.605 0.125 0.980
Fe4 Fe 0.875 0.855 0.480
# total energy = -60.145 eV/cell
# formation energy = 0.270 eV per atom
# SG = I-42d

***

# ScTiTlFe2, optimized geometry, DFT PBE
data_ScTiTlFe2
_chemical_formula_sum 'Sc1 Ti1 Tl1 Fe2'
_symmetry_space_group_name_H-M 'P 1'
_symmetry_Int_Tables_number 1
_symmetry_space_group_name_Hall 'P 1'
_cell_length_a 4.300
_cell_length_b 4.300
_cell_length_c 5.173
_cell_angle_alpha 90.00
_cell_angle_beta 90.00
_cell_angle_gamma 90.00
loop_
_atom_site_label
_atom_site_type_symbol
_atom_site_fract_x
_atom_site_fract_y
_atom_site_fract_z
Sc1 Sc 0.000 0.000 0.000
Ti1 Ti 0.500 0.500 0.500
Tl1 Tl 0.500 0.500 0.000
Fe1 Fe 0.000 0.500 0.500
Fe2 Fe 0.500 0.000 0.500
# total energy = -29.449 eV/cell
# formation energy = 0.814 eV per atom
# SG = P4/mmm

***

# ScTiZnFe, optimized geometry, DFT PBE
data_ScTiZnFe
_chemical_formula_sum 'Sc1 Ti1 Zn1 Fe1'
_symmetry_space_group_name_H-M 'P 1'
_symmetry_Int_Tables_number 1
_symmetry_space_group_name_Hall 'P 1'
_cell_length_a 4.446
_cell_length_b 4.446
_cell_length_c 4.446
_cell_angle_alpha 60.00
_cell_angle_beta 60.00
_cell_angle_gamma 60.00
loop_
_atom_site_label
_atom_site_type_symbol
_atom_site_fract_x
_atom_site_fract_y
_atom_site_fract_z
Sc1 Sc 0.000 0.000 0.000
Ti1 Ti 0.500 0.500 0.500
Zn1 Zn 0.750 0.750 0.750
Fe1 Fe 0.250 0.250 0.250
# total energy = -24.687 eV/cell
# formation energy = -0.181 eV per atom
# SG = F-43m

***

# Sc3TlFe, optimized geometry, DFT PBE
data_Sc3TlFe
_chemical_formula_sum 'Sc3 Tl1 Fe1'
_symmetry_space_group_name_H-M 'P 1'
_symmetry_Int_Tables_number 1
_symmetry_space_group_name_Hall 'P 1'
_cell_length_a 4.835
_cell_length_b 4.835
_cell_length_c 4.835
_cell_angle_alpha 90.00
_cell_angle_beta 90.00
_cell_angle_gamma 90.00
loop_
_atom_site_label
_atom_site_type_symbol
_atom_site_fract_x
_atom_site_fract_y
_atom_site_fract_z
Sc1 Sc 0.000 0.000 0.500
Sc2 Sc 0.000 0.500 0.000
Sc3 Sc 0.500 0.000 0.000
Tl1 Tl 0.500 0.500 0.500
Fe1 Fe 0.000 0.000 0.000
# total energy = -29.992 eV/cell
# formation energy = -0.034 eV per atom
# SG = Pm-3m

***

# ScTlFe2, optimized geometry, DFT PBE
data_ScTlFe2
_chemical_formula_sum 'Sc1 Tl1 Fe2'
_symmetry_space_group_name_H-M 'P 1'
_symmetry_Int_Tables_number 1
_symmetry_space_group_name_Hall 'P 1'
_cell_length_a 5.291
_cell_length_b 5.291
_cell_length_c 5.291
_cell_angle_alpha 142.91
_cell_angle_beta 129.95
_cell_angle_gamma 63.91
loop_
_atom_site_label
_atom_site_type_symbol
_atom_site_fract_x
_atom_site_fract_y
_atom_site_fract_z
Sc1 Sc 0.000 0.000 0.000
Tl1 Tl 0.278 0.778 0.500
Fe1 Fe 0.536 0.536 0.000
Fe2 Fe 0.727 0.227 0.500
# total energy = -25.149 eV/cell
# formation energy = 0.119 eV per atom
# SG = Imm2

***

# ScTlFe2, optimized geometry, DFT PBE
data_ScTlFe2
_chemical_formula_sum 'Sc1 Tl1 Fe2'
_symmetry_space_group_name_H-M 'P 1'
_symmetry_Int_Tables_number 1
_symmetry_space_group_name_Hall 'P 1'
_cell_length_a 3.162
_cell_length_b 3.162
_cell_length_c 6.850
_cell_angle_alpha 90.00
_cell_angle_beta 90.00
_cell_angle_gamma 90.00
loop_
_atom_site_label
_atom_site_type_symbol
_atom_site_fract_x
_atom_site_fract_y
_atom_site_fract_z
Sc1 Sc 0.000 0.000 0.000
Tl1 Tl 0.500 0.500 0.332
Fe1 Fe 0.000 0.000 0.595
Fe2 Fe 0.500 0.500 0.764
# total energy = -25.350 eV/cell
# formation energy = 0.068 eV per atom
# SG = P4mm